Record 1
Material: PBr2
Method: DFT, PBE
State: relaxed

Lattice parameters (Å, degrees): 8.125 5.031 5.982 90.00 97.22 90.00
Positions (direct):
P 0.000 0.000 0.000
P 0.500 0.500 0.000
Br 0.161 0.726 0.224
Br 0.339 0.226 0.776
Br 0.661 0.226 0.224
Br 0.839 0.726 0.776

Results
Uncorrected energy   -17.46 eV for the cell shown
Formation energy from raw total energies   0.009 eV per atom
Total moment   0.60 μB/cell
Symmetry   No. 5

---

Record 2
Material: Zn2CrAg
Method: DFT, PBE
State: relaxed

Lattice parameters (Å, degrees): 5.878 6.852 3.078 90.00 90.00 90.00
Positions (direct):
Zn 0.250 0.250 0.000
Zn 0.250 0.750 0.000
Zn 0.750 0.250 0.000
Zn 0.750 0.750 0.000
Cr 0.000 0.000 0.500
Cr 0.500 0.500 0.500
Ag 0.000 0.500 0.500
Ag 0.500 0.000 0.500

Results
Uncorrected energy   -28.59 eV for the cell shown
Formation enthalpy at 0 K   0.18 eV/atom
Total moment   6.50 μB/cell
Symmetry   No. 65

---

Record 3
Material: K2YTa
Method: DFT, PBE
State: relaxed

Lattice parameters (Å, degrees): 6.562 13.731 3.181 90.00 117.77 90.00
Positions (direct):
K 0.250 0.250 0.000
K 0.250 0.750 0.000
K 0.750 0.250 0.000
K 0.750 0.750 0.000
Y 0.000 0.000 0.500
Y 0.500 0.500 0.500
Ta 0.000 0.500 0.500
Ta 0.500 0.000 0.500

Results
Uncorrected energy   -32.24 eV for the cell shown
Formation enthalpy at 0 K   1.10 eV/atom
Total moment   2.03 μB/cell
Symmetry   No. 12

---

Record 4
Material: SiAsPC
Method: DFT, PBE
State: relaxed

Lattice parameters (Å, degrees): 8.274 3.476 4.709 90.00 99.02 90.00
Positions (direct):
Si 0.000 0.000 0.000
Si 0.500 0.500 0.000
As 0.253 0.000 0.342
As 0.753 0.500 0.342
P 0.109 0.500 0.787
P 0.609 0.000 0.787
C 0.290 0.500 0.090
C 0.790 0.000 0.090

Results
Uncorrected energy   -46.08 eV for the cell shown
Formation energy from raw total energies   0.417 eV per atom
Total moment   0.00 μB/cell
Symmetry   No. 8

---

Record 5
Material: InTe4Cl
Method: DFT, PBE
State: relaxed

Lattice parameters (Å, degrees): 6.392 6.392 6.392 60.00 60.00 60.00
Positions (direct):
In 0.000 0.000 0.000
Te 0.126 0.625 0.625
Te 0.625 0.126 0.625
Te 0.625 0.625 0.126
Te 0.625 0.625 0.625
Cl 0.250 0.250 0.250

Results
Uncorrected energy   -16.75 eV for the cell shown
Formation energy from raw total energies   0.067 eV per atom
Total moment   0.00 μB/cell
Symmetry   No. 216

---

Record 6
Material: BeOs
Method: DFT, PBE
State: relaxed

Lattice parameters (Å, degrees): 2.879 3.862 8.123 90.00 90.00 90.00
Positions (direct):
Be 0.000 0.250 0.137
Be 0.000 0.750 0.863
Be 0.500 0.250 0.363
Be 0.500 0.750 0.637
Os 0.000 0.250 0.616
Os 0.000 0.750 0.384
Os 0.500 0.250 0.884
Os 0.500 0.750 0.116

Results
Uncorrected energy   -60.39 eV for the cell shown
Formation enthalpy at 0 K   -0.07 eV/atom
Total moment   0.00 μB/cell
Symmetry   No. 74

---

Record 7
Material: Ac2PdS
Method: DFT, PBE
State: relaxed

Lattice parameters (Å, degrees): 4.266 4.266 23.541 90.00 90.00 120.00
Positions (direct):
Ac 0.000 0.000 0.000
Ac 0.000 0.000 0.178
Ac 0.333 0.667 0.667
Ac 0.333 0.667 0.844
Ac 0.667 0.333 0.333
Ac 0.667 0.333 0.511
Pd 0.000 0.000 0.588
Pd 0.333 0.667 0.255
Pd 0.667 0.333 0.921
S 0.000 0.000 0.758
S 0.333 0.667 0.424
S 0.667 0.333 0.091

Results
Uncorrected energy   -67.67 eV for the cell shown
Formation energy from raw total energies   -1.255 eV per atom
Total moment   0.00 μB/cell
Symmetry   No. 160

---

Record 8
Material: Rb2TbGe2O6
Method: DFT, PBE
State: relaxed

Lattice parameters (Å, degrees): 6.121 6.121 7.055 115.75 115.75 59.99
Positions (direct):
Rb 0.216 0.216 0.151
Rb 0.784 0.784 0.849
Tb 0.000 0.000 0.500
Ge 0.429 0.429 0.782
Ge 0.571 0.571 0.218
O 0.247 0.247 0.719
O 0.249 0.734 0.726
O 0.266 0.751 0.274
O 0.734 0.249 0.726
O 0.751 0.266 0.274
O 0.753 0.753 0.281

Results
Uncorrected energy   -67.80 eV for the cell shown
Formation energy from raw total energies   -2.023 eV per atom
Total moment   0.89 μB/cell
Symmetry   No. 12

---

Record 9
Material: LiGaHgIr
Method: DFT, PBE
State: relaxed

Lattice parameters (Å, degrees): 6.353 6.353 6.353 90.00 90.00 90.00
Positions (direct):
Li 0.000 0.000 0.000
Li 0.000 0.500 0.500
Li 0.500 0.000 0.500
Li 0.500 0.500 0.000
Ga 0.250 0.250 0.750
Ga 0.250 0.750 0.250
Ga 0.750 0.250 0.250
Ga 0.750 0.750 0.750
Hg 0.250 0.250 0.250
Hg 0.250 0.750 0.750
Hg 0.750 0.250 0.750
Hg 0.750 0.750 0.250
Ir 0.000 0.000 0.500
Ir 0.000 0.500 0.000
Ir 0.500 0.000 0.000
Ir 0.500 0.500 0.500

Results
Uncorrected energy   -59.32 eV for the cell shown
Formation enthalpy at 0 K   -0.18 eV/atom
Total moment   0.00 μB/cell
Symmetry   No. 216

---

Record 10
Material: GaSb3
Method: DFT, PBE
State: relaxed

Lattice parameters (Å, degrees): 4.929 5.223 4.288 90.00 90.00 90.00
Positions (direct):
Ga 0.000 0.000 0.000
Sb 0.000 0.500 0.670
Sb 0.500 0.000 0.402
Sb 0.500 0.500 0.057

Results
Uncorrected energy   -14.95 eV for the cell shown
Formation energy from raw total energies   0.110 eV per atom
Total moment   0.00 μB/cell
Symmetry   No. 25

---

Record 11
Material: SrIr2
Method: DFT, PBE
State: relaxed

Lattice parameters (Å, degrees): 4.231 4.231 4.679 90.00 90.00 120.00
Positions (direct):
Sr 0.000 0.000 0.000
Ir 0.333 0.667 0.500
Ir 0.667 0.333 0.500

Results
Uncorrected energy   -19.83 eV for the cell shown
Formation enthalpy at 0 K   -0.14 eV/atom
Total moment   0.00 μB/cell
Symmetry   No. 191

---

Record 12
Material: SrCa2ReF
Method: DFT, PBE
State: relaxed

Lattice parameters (Å, degrees): 6.441 6.441 4.291 90.00 90.00 90.00
Positions (direct):
Sr 0.000 0.000 0.000
Ca 0.000 0.500 0.000
Ca 0.500 0.000 0.000
Re 0.500 0.500 0.500
F 0.000 0.000 0.500

Results
Uncorrected energy   -17.34 eV for the cell shown
Formation energy from raw total energies   0.534 eV per atom
Total moment   2.99 μB/cell
Symmetry   No. 123